# 1
! TbSmRu4, relaxed, DFT PBE; values from VASP
! DOS at the Fermi energy = 1.102 states/eV per atom
! magnetic moment = 0.0 μB per cell
! energy of formation = -0.2414 eV per atom
! SG = No. 216
! VASP energy = -7.98 eV/atom
&SYSTEM
  ibrav = 0, nat = 6, ntyp = 3
/
ATOMIC_SPECIES
Tb 158.93 Tb.upf
Sm 150.36 Sm.upf
Ru 101.07 Ru.upf
CELL_PARAMETERS angstrom
0.0000 3.7961 3.7961
3.7961 0.0000 3.7961
3.7961 3.7961 0.0000
ATOMIC_POSITIONS crystal
Tb 0.0000 0.0000 0.0000
Sm 0.2500 0.2500 0.2500
Ru 0.1247 0.6251 0.6251
Ru 0.6251 0.1247 0.6251
Ru 0.6251 0.6251 0.1247
Ru 0.6251 0.6251 0.6251

# 2
! PmSm2F11, relaxed, DFT PBE; values from VASP
! DOS at the Fermi energy = 0.929 states/eV per atom
! magnetic moment = 4.2 μB per cell
! SG = No. 72
! VASP energy = -5.90 eV/atom
! formation energy (no corrections) = -3.416 eV per atom
&SYSTEM
  ibrav = 0, nat = 28, ntyp = 3
/
ATOMIC_SPECIES
Pm 145.00 Pm.upf
Sm 150.36 Sm.upf
F 19.00 F.upf
CELL_PARAMETERS angstrom
-4.3083 5.2265 5.7820
4.3083 -5.2265 5.7820
4.3083 5.2265 -5.7820
ATOMIC_POSITIONS crystal
Pm 0.2500 0.2500 0.0000
Pm 0.7500 0.7500 0.0000
Sm 0.1898 0.6603 0.8501
Sm 0.3102 0.1603 0.4704
Sm 0.6898 0.8397 0.5296
Sm 0.8102 0.3397 0.1499
F 0.0000 0.5000 0.5000
F 0.0279 0.9598 0.2741
F 0.0563 0.3363 0.1276
F 0.1857 0.4598 0.9319
F 0.1910 0.3917 0.5827
F 0.2087 0.9287 0.8724
F 0.2913 0.1637 0.7199
F 0.3090 0.8917 0.2007
F 0.3143 0.2462 0.2741
F 0.4437 0.5713 0.2801
F 0.4721 0.7462 0.9319
F 0.5000 0.0000 0.5000
F 0.5279 0.2538 0.0681
F 0.5563 0.4287 0.7199
F 0.6857 0.7538 0.7259
F 0.6910 0.1083 0.7993
F 0.7087 0.8363 0.2801
F 0.7913 0.0713 0.1276
F 0.8090 0.6083 0.4173
F 0.8143 0.5402 0.0681
F 0.9437 0.6637 0.8724
F 0.9721 0.0402 0.7259

# 3
! VZnFe3, relaxed, DFT PBE; values from VASP
! DOS at the Fermi energy = 1.530 states/eV per atom
! magnetic moment = 4.6 μB per cell
! energy of formation = 1.1989 eV per atom
! SG = No. 221
! energy above the lowest structure with this stoichiometry = 0.159 eV per atom
! VASP energy = -5.96 eV/atom
&SYSTEM
  ibrav = 0, nat = 5, ntyp = 3
/
ATOMIC_SPECIES
V 50.94 V.upf
Zn 65.41 Zn.upf
Fe 55.84 Fe.upf
CELL_PARAMETERS angstrom
4.3632 0.0000 0.0000
0.0000 4.3632 0.0000
0.0000 0.0000 4.3632
ATOMIC_POSITIONS crystal
V 0.0000 0.0000 0.0000
Zn 0.5000 0.5000 0.5000
Fe 0.0000 0.5000 0.5000
Fe 0.5000 0.0000 0.5000
Fe 0.5000 0.5000 0.0000